TcP2Au | PBE | optimized geometry Values from VASP.

total moment: 0.00 Bohr magnetons per cell
DOS at the Fermi energy: 1.2 states/eV/f.u.
ΔH_f (0 K): -15 kJ/mol of atoms
ΔE to the lowest computed polymorph: 0 meV per atom
calculated total energy: -0.4607 Ry/atom

Quantum ESPRESSO input file:
```
&SYSTEM
  ibrav = 0, nat = 4, ntyp = 3
/
ATOMIC_SPECIES
Tc 98.00 Tc.upf
P 30.97 P.upf
Au 196.97 Au.upf
CELL_PARAMETERS angstrom
7.4591 -1.4592 0.0000
7.4591 1.4592 0.0000
-0.0671 0.0000 2.9681
ATOMIC_POSITIONS crystal
Tc 0.0000 0.0000 0.0000
P 0.4065 0.4065 0.4541
P 0.5980 0.5980 0.4728
Au 0.2457 0.2457 0.4531
```